Record 1
First-principles (GGA-PBE) data for Li2Ag2Ru after structural relaxation, as listed in the Alexandria database.

Unit cell a=7.485 b=7.485 c=2.712 alpha=90.00 beta=90.00 gamma=90.00
Fractional positions:
Ag1 0.136 0.364 0.000
Ag2 0.636 0.136 0.000
Ag3 0.364 0.864 0.000
Ag4 0.864 0.636 0.000
Ru1 0.500 0.500 0.000
Ru2 0.000 0.000 0.000
Li1 0.666 0.834 0.500
Li2 0.334 0.166 0.500
Li3 0.166 0.666 0.500
Li4 0.834 0.334 0.500

## Properties
The magnetic moment is 0.000 μB/f.u.

---

Record 2
First-principles (GGA-PBE) data for LiAg2Ru after structural relaxation, as listed in the Alexandria database.

Unit cell a=4.837 b=4.837 c=2.728 alpha=90.00 beta=90.00 gamma=90.00
Fractional positions:
Ag1 0.000 0.000 0.000
Ag2 0.500 0.500 0.000
Ru1 0.000 0.500 0.500
Li1 0.500 0.000 0.500

## Properties
The magnetic moment is 0.000 μB/f.u.

---

Record 3
First-principles (GGA-PBE) data for LiAg2Ru after structural relaxation, as listed in the Alexandria database.

Unit cell a=2.676 b=4.247 c=5.589 alpha=90.00 beta=90.00 gamma=90.00
Fractional positions:
Ag1 0.000 0.000 0.501
Ag2 0.000 0.000 0.999
Li1 0.500 0.500 0.250
Ru1 0.500 0.500 0.750

## Properties
The magnetic moment is 0.319 μB/f.u.

---

no.,ΔE to the lowest computed polymorph (meV per atom),formation energy (meV per atom)
1,45.0,259
2,41.1,219
3,98.7,277